## Dy4Te2PIr (GGA-PBE)

Data for a relaxed structure of Dy4Te2PIr.

Summary:
Space group   P2/m (10)
Raw formation energy   -122.6 kJ per mole of atoms

abc: 7.257 4.136 7.470
angles: 90.00 108.45 90.00
Fractional coordinates of all 8 atoms:
Dy1 0.232 0.000 0.207
Dy2 0.258 0.500 0.791
Dy3 0.742 0.500 0.209
Dy4 0.768 0.000 0.793
Te1 0.000 0.000 0.500
Te2 0.500 0.500 0.500
P1 0.500 0.000 0.000
Ir1 0.000 0.500 0.000

## Dy6Te3PIr2 (GGA-PBE)

Data for a relaxed structure of Dy6Te3PIr2.

Summary:
Space group   C2/m (12)
Raw formation energy   -115.1 kJ per mole of atoms

abc: 7.200 7.200 7.536
angles: 99.25 99.25 120.03
Fractional coordinates of all 12 atoms:
Dy1 0.094 0.431 0.792
Dy2 0.234 0.234 0.208
Dy3 0.431 0.094 0.792
Dy4 0.569 0.906 0.208
Dy5 0.766 0.766 0.792
Dy6 0.906 0.569 0.208
Te1 0.000 0.000 0.500
Te2 0.335 0.665 0.500
Te3 0.665 0.335 0.500
P1 0.500 0.500 0.000
Ir1 0.166 0.834 0.000
Ir2 0.834 0.166 0.000

## Dy8Te3PIr3 (GGA-PBE)

Data for a relaxed structure of Dy8Te3PIr3.

Summary:
Space group   R-3m (166)
Raw formation energy   -99.7 kJ per mole of atoms

abc: 8.547 8.547 8.547
angles: 57.88 57.88 57.88
Fractional coordinates of all 15 atoms:
Dy1 0.231 0.737 0.737
Dy2 0.236 0.236 0.236
Dy3 0.263 0.263 0.769
Dy4 0.263 0.769 0.263
Dy5 0.737 0.231 0.737
Dy6 0.737 0.737 0.231
Dy7 0.764 0.764 0.764
Dy8 0.769 0.263 0.263
Te1 0.000 0.500 0.500
Te2 0.500 0.000 0.500
Te3 0.500 0.500 0.000
P1 0.500 0.500 0.500
Ir1 0.000 0.000 0.500
Ir2 0.000 0.500 0.000
Ir3 0.500 0.000 0.000

## DyThP2Ir5 (GGA-PBE)

Data for a relaxed structure of DyThP2Ir5.

Summary:
Space group   P4/mmm (123)
Energy of formation   -674 meV per atom

abc: 4.073 4.073 10.853
angles: 90.00 90.00 90.00
Fractional coordinates of all 9 atoms:
Dy1 0.000 0.000 0.000
Th1 0.000 0.000 0.500
P1 0.500 0.500 0.289
P2 0.500 0.500 0.711
Ir1 0.000 0.500 0.198
Ir2 0.000 0.500 0.802
Ir3 0.500 0.000 0.198
Ir4 0.500 0.000 0.802
Ir5 0.500 0.500 0.500

## Dy2TiP3Ir4 (GGA-PBE)

Data for a relaxed structure of Dy2TiP3Ir4.

Summary:
Space group   P-4m2 (115)
Energy of formation   -1006 meV per atom

abc: 3.994 3.994 10.469
angles: 90.00 90.00 90.00
Fractional coordinates of all 10 atoms:
Dy1 0.000 0.500 0.234
Dy2 0.500 0.000 0.766
Ti1 0.000 0.000 0.500
P1 0.000 0.500 0.865
P2 0.500 0.000 0.135
P3 0.500 0.500 0.500
Ir1 0.000 0.000 0.000
Ir2 0.000 0.500 0.643
Ir3 0.500 0.000 0.357
Ir4 0.500 0.500 0.000

## DyTmP2Ir5 (GGA-PBE)

Data for a relaxed structure of DyTmP2Ir5.

Summary:
Space group   P4/mmm (123)
Energy of formation   -617 meV per atom

abc: 3.998 3.998 11.009
angles: 90.00 90.00 90.00
Fractional coordinates of all 9 atoms:
Dy1 0.000 0.000 0.000
Tm1 0.000 0.000 0.500
P1 0.500 0.500 0.207
P2 0.500 0.500 0.793
Ir1 0.000 0.500 0.306
Ir2 0.000 0.500 0.694
Ir3 0.500 0.000 0.306
Ir4 0.500 0.000 0.694
Ir5 0.500 0.500 0.000

## Dy2UP3Ir12 (GGA-PBE)

Data for a relaxed structure of Dy2UP3Ir12.

Summary:
Space group   R-3m (166)
Energy of formation   -82 meV per atom

abc: 7.447 7.447 7.447
angles: 66.34 66.34 66.34
Fractional coordinates of all 18 atoms:
Dy1 0.094 0.094 0.094
Dy2 0.906 0.906 0.906
U1 0.500 0.500 0.500
P1 0.000 0.500 0.500
P2 0.500 0.000 0.500
P3 0.500 0.500 0.000
Ir1 0.110 0.646 0.646
Ir2 0.156 0.156 0.594
Ir3 0.156 0.594 0.156
Ir4 0.354 0.354 0.890
Ir5 0.354 0.890 0.354
Ir6 0.406 0.844 0.844
Ir7 0.594 0.156 0.156
Ir8 0.646 0.110 0.646
Ir9 0.646 0.646 0.110
Ir10 0.844 0.406 0.844
Ir11 0.844 0.844 0.406
Ir12 0.890 0.354 0.354

## DyUP2Ir5 (GGA-PBE)

Data for a relaxed structure of DyUP2Ir5.

Summary:
Space group   P4/mmm (123)
Energy of formation   -479 meV per atom

abc: 4.015 4.015 11.029
angles: 90.00 90.00 90.00
Fractional coordinates of all 9 atoms:
Dy1 0.000 0.000 0.000
U1 0.000 0.000 0.500
P1 0.500 0.500 0.292
P2 0.500 0.500 0.708
Ir1 0.000 0.500 0.197
Ir2 0.000 0.500 0.803
Ir3 0.500 0.000 0.197
Ir4 0.500 0.000 0.803
Ir5 0.500 0.500 0.500

## DyPa2Ir (GGA-PBE)

Data for a relaxed structure of DyPa2Ir.

Summary:
Space group   R-3m (166)
Energy of formation   81 meV per atom

abc: 3.522 3.522 30.234
angles: 90.00 90.00 120.00
Fractional coordinates of all 12 atoms:
Dy1 0.000 0.000 0.000
Dy2 0.333 0.667 0.667
Dy3 0.667 0.333 0.333
Pa1 0.000 0.000 0.104
Pa2 0.000 0.000 0.896
Pa3 0.333 0.667 0.563
Pa4 0.333 0.667 0.770
Pa5 0.667 0.333 0.230
Pa6 0.667 0.333 0.437
Ir1 0.000 0.000 0.500
Ir2 0.333 0.667 0.167
Ir3 0.667 0.333 0.833

## Dy5PaIr6 (GGA-PBE)

Data for a relaxed structure of Dy5PaIr6.

Summary:
Space group   Cmmm (65)
Energy of formation   -824 meV per atom

abc: 7.649 7.649 7.001
angles: 90.00 90.00 143.18
Fractional coordinates of all 12 atoms:
Dy1 0.000 0.000 0.000
Dy2 0.329 0.671 0.500
Dy3 0.333 0.667 0.000
Dy4 0.667 0.333 0.000
Dy5 0.671 0.329 0.500
Pa1 0.000 0.000 0.500
Ir1 0.158 0.842 0.255
Ir2 0.158 0.842 0.745
Ir3 0.500 0.500 0.266
Ir4 0.500 0.500 0.734
Ir5 0.842 0.158 0.255
Ir6 0.842 0.158 0.745

## DyPaIr2 (GGA-PBE)

Data for a relaxed structure of DyPaIr2.

Summary:
Space group   P4/mmm (123)
Energy of formation   -773 meV per atom
Distance to the lowest polymorph of the same formula   0.159 eV per atom

abc: 3.469 3.469 6.966
angles: 90.00 90.00 90.00
Fractional coordinates of all 4 atoms:
Dy1 0.000 0.000 0.000
Pa1 0.000 0.000 0.500
Ir1 0.500 0.500 0.274
Ir2 0.500 0.500 0.726

## Dy2PaIr2 (GGA-PBE)

Data for a relaxed structure of Dy2PaIr2.

Summary:
Space group   C2/c (15)
Energy of formation   -773 meV per atom

abc: 6.476 6.476 7.233
angles: 98.45 98.45 55.22
Fractional coordinates of all 10 atoms:
Dy1 0.051 0.269 0.150
Dy2 0.269 0.051 0.650
Dy3 0.731 0.949 0.350
Dy4 0.949 0.731 0.850
Pa1 0.420 0.580 0.250
Pa2 0.580 0.420 0.750
Ir1 0.240 0.444 0.474
Ir2 0.444 0.240 0.974
Ir3 0.556 0.760 0.026
Ir4 0.760 0.556 0.526

Listing M_tot for the structures above in their given order: 0.000, 0.000, 0.000, 0.000, 0.000, 0.000, 0.000, 2.485, 0.083, 0.000, 0.000, 0.000 μB/f.u..